Record 1
# PBE+U Mn8O13F3, relaxed
# crystal system: triclinic
# Fermi-level density of states: 0.2131 states/eV per atom
data_Mn8O13F3
_symmetry_space_group_name_H-M 'P 1'
_symmetry_Int_Tables_number 1
_symmetry_space_group_name_Hall 'P 1'
_cell_length_a 4.5105
_cell_length_b 5.5084
_cell_length_c 9.9813
_cell_angle_alpha 90.02
_cell_angle_beta 90.06
_cell_angle_gamma 90.98
loop_
_atom_site_label
_atom_site_type_symbol
_atom_site_fract_x
_atom_site_fract_y
_atom_site_fract_z
Mn1 Mn 0.0000 0.0000 0.0000
Mn2 Mn 0.0002 0.0114 0.5042
Mn3 Mn 0.0291 0.2978 0.2554
Mn4 Mn 0.4788 0.5229 0.9988
Mn5 Mn 0.4933 0.8220 0.2502
Mn6 Mn 0.5032 0.8222 0.7524
Mn7 Mn 0.5050 0.5105 0.5026
Mn8 Mn 0.9749 0.2994 0.7572
O1 O 0.2141 0.2759 0.9182
O2 O 0.2231 0.0532 0.6701
O3 O 0.2294 0.0515 0.1633
O4 O 0.2426 0.2632 0.4158
O5 O 0.2669 0.7734 0.9124
O6 O 0.2679 0.5476 0.1679
O7 O 0.2733 0.7695 0.4165
O8 O 0.7149 0.5474 0.8363
O9 O 0.7228 0.7750 0.0863
O10 O 0.7318 0.7734 0.5905
O11 O 0.7519 0.0522 0.8431
O12 O 0.7671 0.2671 0.5896
O13 O 0.7763 0.0510 0.3381
F1 F 0.2369 0.5496 0.6752
F2 F 0.7563 0.2841 0.0936
F3 F 0.7635 0.5455 0.3290

Record 2
# PBE+U Mn2OF3, relaxed
# crystal system: orthorhombic
data_Mn2OF3
_symmetry_space_group_name_H-M 'C m c m'
_symmetry_Int_Tables_number 63
_symmetry_space_group_name_Hall '-C 2c 2'
_cell_length_a 6.9958
_cell_length_b 6.7530
_cell_length_c 6.3370
_cell_angle_alpha 90.00
_cell_angle_beta 90.00
_cell_angle_gamma 90.00
loop_
_atom_site_label
_atom_site_type_symbol
_atom_site_fract_x
_atom_site_fract_y
_atom_site_fract_z
Mn1 Mn 0.0000 0.0000 0.0000
Mn2 Mn 0.0000 0.4644 0.2500
O1 O 0.0000 0.1658 0.2500
F1 F 0.0000 0.2177 0.7500
F2 F 0.2038 0.5000 0.0000

Record 3
# PBE+U Mn2OF, relaxed
# crystal system: trigonal
# Fermi-level density of states: 0.5080 states/eV per atom
data_Mn2OF
_symmetry_space_group_name_H-M 'R -3 m'
_symmetry_Int_Tables_number 166
_symmetry_space_group_name_Hall '-R 3 2"'
_cell_length_a 3.3152
_cell_length_b 3.3152
_cell_length_c 19.2017
_cell_angle_alpha 90.00
_cell_angle_beta 90.00
_cell_angle_gamma 120.00
loop_
_atom_site_label
_atom_site_type_symbol
_atom_site_fract_x
_atom_site_fract_y
_atom_site_fract_z
Mn1 Mn 0.0000 0.0000 0.1046
O1 O 0.0000 0.0000 0.5000
F1 F 0.0000 0.0000 0.0000

Record 4
# PBE+U Mn4O7F, relaxed
# crystal system: monoclinic
# Fermi-level density of states: 0.1932 states/eV per atom
data_Mn4O7F
_symmetry_space_group_name_H-M 'C 1 c 1'
_symmetry_Int_Tables_number 9
_symmetry_space_group_name_Hall 'C -2yc'
_cell_length_a 8.9556
_cell_length_b 10.9748
_cell_length_c 4.9570
_cell_angle_alpha 90.00
_cell_angle_beta 90.73
_cell_angle_gamma 90.00
loop_
_atom_site_label
_atom_site_type_symbol
_atom_site_fract_x
_atom_site_fract_y
_atom_site_fract_z
Mn1 Mn 0.0000 0.0685 0.0000
Mn2 Mn 0.2517 0.3360 0.0221
Mn3 Mn 0.2569 0.1789 0.5406
Mn4 Mn 0.4975 0.0728 0.0327
O1 O 0.1131 0.4470 0.2104
O2 O 0.1193 0.0570 0.6819
O3 O 0.1319 0.3056 0.7004
O4 O 0.3665 0.1956 0.8619
O5 O 0.3669 0.3065 0.3523
O6 O 0.3808 0.0563 0.3621
O7 O 0.3871 0.4502 0.8212
F1 F 0.1286 0.1882 0.2025

Record 5
# PBE+U Mn3OF5, relaxed
# crystal system: orthorhombic
# Fermi-level density of states: 0.1982 states/eV per atom
data_Mn3OF5
_symmetry_space_group_name_H-M 'P m n 21'
_symmetry_Int_Tables_number 31
_symmetry_space_group_name_Hall 'P 2ac -2'
_cell_length_a 3.2292
_cell_length_b 4.9276
_cell_length_c 14.7313
_cell_angle_alpha 90.00
_cell_angle_beta 90.00
_cell_angle_gamma 90.00
loop_
_atom_site_label
_atom_site_type_symbol
_atom_site_fract_x
_atom_site_fract_y
_atom_site_fract_z
Mn1 Mn 0.0000 0.2162 0.0000
Mn2 Mn 0.0000 0.2240 0.3473
Mn3 Mn 0.0000 0.2799 0.6750
O1 O 0.0000 0.9481 0.4420
F1 F 0.0000 0.5142 0.2430
F2 F 0.0000 0.5629 0.9070
F3 F 0.0000 0.5886 0.5702
F4 F 0.0000 0.9201 0.1114
F5 F 0.0000 0.9663 0.7764

Record 6
# PBE+U Mn6O7F5, relaxed
# crystal system: triclinic
# Fermi-level density of states: 0.2511 states/eV per atom
data_Mn6O7F5
_symmetry_space_group_name_H-M 'P 1'
_symmetry_Int_Tables_number 1
_symmetry_space_group_name_Hall 'P 1'
_cell_length_a 4.6919
_cell_length_b 5.6897
_cell_length_c 7.6912
_cell_angle_alpha 85.31
_cell_angle_beta 87.54
_cell_angle_gamma 85.56
loop_
_atom_site_label
_atom_site_type_symbol
_atom_site_fract_x
_atom_site_fract_y
_atom_site_fract_z
Mn1 Mn 0.0000 0.0000 0.0000
Mn2 Mn 0.0010 0.6456 0.3090
Mn3 Mn 0.0382 0.3240 0.6752
Mn4 Mn 0.5196 0.1543 0.3310
Mn5 Mn 0.5222 0.4810 0.9944
Mn6 Mn 0.5278 0.8187 0.6464
O1 O 0.2049 0.2649 0.8961
O2 O 0.3191 0.1077 0.5587
O3 O 0.3351 0.4566 0.2246
O4 O 0.7057 0.5214 0.7611
O5 O 0.7250 0.8622 0.4223
O6 O 0.7259 0.1980 0.1059
O7 O 0.8318 0.7122 0.0881
F1 F 0.2082 0.6231 0.5390
F2 F 0.2240 0.9620 0.2028
F3 F 0.3028 0.7852 0.8790
F4 F 0.8045 0.0149 0.7839
F5 F 0.8332 0.3493 0.4489

Record 7
# PBE+U Mn3OF5, relaxed
# crystal system: triclinic
# Fermi-level density of states: 0.2047 states/eV per atom
data_Mn3OF5
_symmetry_space_group_name_H-M 'P 1'
_symmetry_Int_Tables_number 1
_symmetry_space_group_name_Hall 'P 1'
_cell_length_a 4.9021
_cell_length_b 5.8599
_cell_length_c 8.1570
_cell_angle_alpha 86.76
_cell_angle_beta 88.64
_cell_angle_gamma 87.87
loop_
_atom_site_label
_atom_site_type_symbol
_atom_site_fract_x
_atom_site_fract_y
_atom_site_fract_z
Mn1 Mn 0.0000 0.0000 0.0000
Mn2 Mn 0.0011 0.3266 0.6677
Mn3 Mn 0.4611 0.8521 0.6817
Mn4 Mn 0.4693 0.1732 0.3517
Mn5 Mn 0.4813 0.5200 0.9984
Mn6 Mn 0.9796 0.6734 0.3416
O1 O 0.2835 0.1204 0.5817
O2 O 0.2961 0.8099 0.8921
F1 F 0.1749 0.3130 0.9064
F2 F 0.1781 0.9717 0.2385
F3 F 0.1927 0.6164 0.5674
F4 F 0.2933 0.4742 0.2355
F5 F 0.6688 0.8626 0.4608
F6 F 0.6809 0.2097 0.1074
F7 F 0.6934 0.5548 0.7564
F8 F 0.7858 0.0552 0.7754
F9 F 0.7892 0.7108 0.1077
F10 F 0.7955 0.3641 0.4380

Record 8
# PBE+U Mn4O7F, relaxed
# crystal system: monoclinic
# Fermi-level density of states: 0.2039 states/eV per atom
data_Mn4O7F
_symmetry_space_group_name_H-M 'P 1 c 1'
_symmetry_Int_Tables_number 7
_symmetry_space_group_name_Hall 'P -2yc'
_cell_length_a 4.4768
_cell_length_b 10.9975
_cell_length_c 4.9668
_cell_angle_alpha 90.00
_cell_angle_beta 90.34
_cell_angle_gamma 90.00
loop_
_atom_site_label
_atom_site_type_symbol
_atom_site_fract_x
_atom_site_fract_y
_atom_site_fract_z
Mn1 Mn 0.0000 0.0670 0.0000
Mn2 Mn 0.4658 0.3339 0.9947
Mn3 Mn 0.4771 0.1779 0.4756
Mn4 Mn 0.9696 0.4259 0.4974
O1 O 0.1982 0.4484 0.1750
O2 O 0.2296 0.0550 0.6671
O3 O 0.2458 0.3048 0.6612
O4 O 0.2516 0.1931 0.1556
O5 O 0.7105 0.3059 0.3156
O6 O 0.7393 0.4454 0.8234
O7 O 0.7620 0.0563 0.3193
F1 F 0.7291 0.1880 0.8163

Record 9
# PBE+U Mn6O7F5, relaxed
# crystal system: monoclinic
# Fermi-level density of states: 0.1334 states/eV per atom
data_Mn6O7F5
_symmetry_space_group_name_H-M 'P 1 c 1'
_symmetry_Int_Tables_number 7
_symmetry_space_group_name_Hall 'P -2yc'
_cell_length_a 4.5953
_cell_length_b 5.5936
_cell_length_c 15.4586
_cell_angle_alpha 90.00
_cell_angle_beta 90.03
_cell_angle_gamma 90.00
loop_
_atom_site_label
_atom_site_type_symbol
_atom_site_fract_x
_atom_site_fract_y
_atom_site_fract_z
Mn1 Mn 0.0000 0.1403 0.0000
Mn2 Mn 0.0087 0.1508 0.6618
Mn3 Mn 0.4982 0.3509 0.1542
Mn4 Mn 0.5235 0.3245 0.8206
Mn5 Mn 0.5691 0.3582 0.4863
Mn6 Mn 0.9963 0.1443 0.3299
O1 O 0.2216 0.1122 0.7710
O2 O 0.2316 0.1192 0.1052
O3 O 0.7167 0.3898 0.7099
O4 O 0.7390 0.4018 0.3762
O5 O 0.7548 0.3821 0.0438
O6 O 0.7888 0.0914 0.8935
O7 O 0.8014 0.1145 0.5532
F1 F 0.2424 0.3815 0.2683
F2 F 0.2706 0.1265 0.4439
F3 F 0.2744 0.3604 0.9344
F4 F 0.2918 0.3877 0.5903
F5 F 0.7331 0.1149 0.2183

Record 10
# PBE+U Mn8O13F3, relaxed
# crystal system: triclinic
# Fermi-level density of states: 0.2346 states/eV per atom
data_Mn8O13F3
_symmetry_space_group_name_H-M 'P 1'
_symmetry_Int_Tables_number 1
_symmetry_space_group_name_Hall 'P 1'
_cell_length_a 4.5232
_cell_length_b 5.5501
_cell_length_c 9.9475
_cell_angle_alpha 89.64
_cell_angle_beta 89.52
_cell_angle_gamma 87.41
loop_
_atom_site_label
_atom_site_type_symbol
_atom_site_fract_x
_atom_site_fract_y
_atom_site_fract_z
Mn1 Mn 0.0000 0.0000 0.0000
Mn2 Mn 0.0022 0.0075 0.5017
Mn3 Mn 0.0245 0.7077 0.2433
Mn4 Mn 0.4782 0.4827 0.4952
Mn5 Mn 0.4850 0.1851 0.2482
Mn6 Mn 0.5027 0.4970 0.9896
Mn7 Mn 0.5244 0.2117 0.7440
Mn8 Mn 0.9900 0.6866 0.7427
O1 O 0.2242 0.9519 0.3344
O2 O 0.2263 0.7299 0.5806
O3 O 0.2501 0.7447 0.0819
O4 O 0.2582 0.4572 0.3303
O5 O 0.2741 0.2439 0.5885
O6 O 0.2773 0.2401 0.0801
O7 O 0.2831 0.4649 0.8311
O8 O 0.7186 0.2287 0.4084
O9 O 0.7290 0.4500 0.6518
O10 O 0.7516 0.2441 0.9084
O11 O 0.7661 0.9630 0.6617
O12 O 0.7761 0.9602 0.1603
O13 O 0.7796 0.7391 0.9114
F1 F 0.2514 0.9774 0.8328
F2 F 0.7453 0.4715 0.1579
F3 F 0.7513 0.7170 0.4034

Record 11
# PBE+U Mn3OF5, relaxed
# crystal system: triclinic
# Fermi-level density of states: 0.2136 states/eV per atom
data_Mn3OF5
_symmetry_space_group_name_H-M 'P 1'
_symmetry_Int_Tables_number 1
_symmetry_space_group_name_Hall 'P 1'
_cell_length_a 5.8840
_cell_length_b 5.8897
_cell_length_c 7.5924
_cell_angle_alpha 73.41
_cell_angle_beta 72.79
_cell_angle_gamma 71.00
loop_
_atom_site_label
_atom_site_type_symbol
_atom_site_fract_x
_atom_site_fract_y
_atom_site_fract_z
Mn1 Mn 0.0000 0.0000 0.0000
Mn2 Mn 0.0104 0.0230 0.4978
Mn3 Mn 0.3193 0.3376 0.1753
Mn4 Mn 0.3581 0.3526 0.6680
Mn5 Mn 0.6749 0.6558 0.8204
Mn6 Mn 0.6981 0.6412 0.3465
O1 O 0.5905 0.5570 0.6178
O2 O 0.9814 0.3635 0.3353
F1 F 0.0473 0.6599 0.6711
F2 F 0.1224 0.1278 0.6991
F3 F 0.2323 0.2386 0.9676
F4 F 0.3099 0.6968 0.9929
F5 F 0.3967 0.9474 0.3328
F6 F 0.4385 0.4256 0.3687
F7 F 0.6481 0.0296 0.6795
F8 F 0.6820 0.2980 0.0045
F9 F 0.7723 0.7446 0.0514
F10 F 0.9150 0.8986 0.3006

Record 12
# PBE+U Mn6O5F7, relaxed
# crystal system: triclinic
# Fermi-level density of states: 0.0748 states/eV per atom
data_Mn6O5F7
_symmetry_space_group_name_H-M 'P 1'
_symmetry_Int_Tables_number 1
_symmetry_space_group_name_Hall 'P 1'
_cell_length_a 4.7652
_cell_length_b 5.7373
_cell_length_c 7.8401
_cell_angle_alpha 86.74
_cell_angle_beta 88.32
_cell_angle_gamma 85.78
loop_
_atom_site_label
_atom_site_type_symbol
_atom_site_fract_x
_atom_site_fract_y
_atom_site_fract_z
Mn1 Mn 0.0000 0.0000 0.0000
Mn2 Mn 0.0084 0.3671 0.6783
Mn3 Mn 0.4465 0.5169 0.9960
Mn4 Mn 0.4833 0.8442 0.6720
Mn5 Mn 0.5201 0.1791 0.3319
Mn6 Mn 0.9783 0.6947 0.3322
O1 O 0.1827 0.7177 0.1075
O2 O 0.1930 0.0614 0.7745
O3 O 0.2850 0.5562 0.7754
O4 O 0.7899 0.6482 0.5643
O5 O 0.8070 0.9769 0.2264
F1 F 0.1940 0.3990 0.4225
F2 F 0.2848 0.2152 0.1092
F3 F 0.3034 0.8973 0.4427
F4 F 0.6716 0.4854 0.2138
F5 F 0.6866 0.8070 0.8952
F6 F 0.7079 0.1601 0.5740
F7 F 0.7682 0.3030 0.9137

In order of appearance, size of the total moment = 1.125; 1.500; 2.390; 1.083; 1.556; 1.278; 1.556; 1.083; 1.278; 1.125; 1.556; 1.389 μB per atom.
In order of appearance, energy above the most stable polymorph in this dataset = 0.0244; 0.0015; 0.1712; 0.0036; 0.0214; 0.0254; 0.0224; 0.0051; 0.0375; 0.0219; 0.0210; 0.0179 eV/atom.